Entry from the Alexandria database: crystalline AcTbTmPb at its relaxed geometry (PBE-GGA).

Unit cell a=5.5982 b=5.5982 c=5.5982 alpha=60.00 beta=60.00 gamma=60.00
With the nearest neighbours (Å) after each atom.
Fractional coordinates of all 4 atoms:
Ac 0.0000 0.0000 0.0000  4 Tb 3.43, 4 Tm 3.43
Tb 0.2500 0.2500 0.2500  4 Pb 3.43, 4 Ac 3.43
Tm 0.7500 0.7500 0.7500  4 Pb 3.43, 4 Ac 3.43
Pb 0.5000 0.5000 0.5000  4 Tb 3.43, 4 Tm 3.43

Formation enthalpy at 0 K (eV per formula unit): -0.129
Crystal system: cubic
Total DFT energy (no corrections) (eV per atom): -4.26
DOS(E_F) (states/eV per cell): 6.41
Space-group type: F-43m, No. 216



Entry from the Alexandria database: crystalline AcTbYPb at its relaxed geometry (PBE-GGA).

Unit cell a=5.6250 b=5.6250 c=5.6250 alpha=60.00 beta=60.00 gamma=60.00
With the nearest neighbours (Å) after each atom.
Fractional coordinates of all 4 atoms:
Ac 0.0000 0.0000 0.0000  4 Tb 3.44, 4 Y 3.44
Tb 0.7500 0.7500 0.7500  4 Pb 3.44, 4 Ac 3.44
Y 0.2500 0.2500 0.2500  4 Ac 3.44, 4 Pb 3.44
Pb 0.5000 0.5000 0.5000  4 Tb 3.44, 4 Y 3.44

Formation enthalpy at 0 K (eV per formula unit): -0.274
Crystal system: cubic
Total DFT energy (no corrections) (eV per atom): -4.80
DOS(E_F) (states/eV per cell): 6.52
Space-group type: F-43m, No. 216



Entry from the Alexandria database: crystalline Ac4TcPb at its relaxed geometry (PBE-GGA).

Unit cell a=8.6469 b=8.6469 c=6.7898 alpha=100.10 beta=100.10 gamma=113.71
With the nearest neighbours (Å) after each atom.
Fractional coordinates of all 12 atoms:
Ac 0.0554 0.7234 0.9487  2 Tc 3.09-3.12
Ac 0.2064 0.3540 0.6180  2 Tc 3.20-3.23, 1 Pb 3.50
Ac 0.2766 0.9446 0.5513  2 Tc 3.09-3.12
Ac 0.3540 0.2064 0.1180  2 Tc 3.20-3.23, 1 Pb 3.50
Ac 0.6460 0.7936 0.8820  2 Tc 3.20-3.23, 1 Pb 3.50
Ac 0.7234 0.0554 0.4487  2 Tc 3.09-3.12
Ac 0.7936 0.6460 0.3820  2 Tc 3.20-3.23, 1 Pb 3.50
Ac 0.9446 0.2766 0.0513  2 Tc 3.09-3.12
Tc 0.0019 0.9981 0.2500  8 Ac 3.09-3.23, 2 Tc 3.40
Tc 0.9981 0.0019 0.7500  8 Ac 3.09-3.23, 2 Tc 3.40
Pb 0.3746 0.6254 0.2500  8 Ac 3.50-3.80
Pb 0.6254 0.3746 0.7500  8 Ac 3.50-3.80

Formation enthalpy at 0 K (eV per formula unit): -0.993
Crystal system: monoclinic
Total DFT energy (no corrections) (eV per atom): -5.25
DOS(E_F) (states/eV per cell): 11.83
Space-group type: C2/c, No. 15



Entry from the Alexandria database: crystalline Ac12TcPb6 at its relaxed geometry (PBE-GGA).

Unit cell a=9.2322 b=9.2322 c=9.2322 alpha=92.39 beta=92.39 gamma=92.39
With the nearest neighbours (Å) after each atom.
Fractional coordinates of all 19 atoms:
Ac 0.0424 0.6954 0.9283  1 Tc 2.91
Ac 0.0717 0.9576 0.3046  1 Tc 2.91
Ac 0.1959 0.5541 0.4182  4 Pb 3.43-3.54
Ac 0.3046 0.0717 0.9576  1 Tc 2.91
Ac 0.4182 0.1959 0.5541  4 Pb 3.43-3.54
Ac 0.4459 0.5818 0.8041  4 Pb 3.43-3.54
Ac 0.5541 0.4182 0.1959  4 Pb 3.43-3.54
Ac 0.5818 0.8041 0.4459  4 Pb 3.43-3.54
Ac 0.6954 0.9283 0.0424  1 Tc 2.91
Ac 0.8041 0.4459 0.5818  4 Pb 3.43-3.54
Ac 0.9283 0.0424 0.6954  1 Tc 2.91
Ac 0.9576 0.3046 0.0717  1 Tc 2.91
Tc 0.0000 0.0000 0.0000  6 Ac 2.91
Pb 0.1392 0.3624 0.7369  8 Ac 3.43-3.77
Pb 0.2631 0.8608 0.6376  8 Ac 3.43-3.77
Pb 0.3624 0.7369 0.1392  8 Ac 3.43-3.77
Pb 0.6376 0.2631 0.8608  8 Ac 3.43-3.77
Pb 0.7369 0.1392 0.3624  8 Ac 3.43-3.77
Pb 0.8608 0.6376 0.2631  8 Ac 3.43-3.77

Formation enthalpy at 0 K (eV per formula unit): -5.219
Crystal system: trigonal
Total DFT energy (no corrections) (eV per atom): -4.59
DOS(E_F) (states/eV per cell): 18.99
Space-group type: R-3, No. 148